Record 1
MgGa3Pd: optimized geometry, PBE.

Values from the calculation:
ΔE to the lowest computed polymorph (eV per atom): 0.000
Symmetry: P2_1/c, No. 14

abc: 6.728 5.796 9.379
angles: 90.00 105.24 90.00
Fractional coordinates of all 20 atoms:
1 Mg 0.169 0.054 0.256
2 Mg 0.169 0.446 0.756
3 Mg 0.831 0.554 0.244
4 Mg 0.831 0.946 0.744
5 Ga 0.056 0.723 0.020
6 Ga 0.056 0.777 0.520
7 Ga 0.275 0.560 0.360
8 Ga 0.275 0.940 0.860
9 Ga 0.371 0.164 0.560
10 Ga 0.371 0.336 0.060
11 Ga 0.629 0.664 0.940
12 Ga 0.629 0.836 0.440
13 Ga 0.725 0.060 0.140
14 Ga 0.725 0.440 0.640
15 Ga 0.944 0.223 0.480
16 Ga 0.944 0.277 0.980
17 Pd 0.451 0.740 0.664
18 Pd 0.451 0.760 0.164
19 Pd 0.549 0.240 0.836
20 Pd 0.549 0.260 0.336

***

Record 2
YAlHg2: optimized geometry, PBE.

Values from the calculation:
E (eV per atom): -2.799
Symmetry: C2/m, No. 12

abc: 6.196 6.196 3.356
angles: 105.09 105.09 118.19
Fractional coordinates of all 4 atoms:
1 Y 0.000 0.000 0.000
2 Al 0.500 0.500 0.000
3 Hg 0.000 0.500 0.500
4 Hg 0.500 0.000 0.500

***

Record 3
Zn2NiPtCl: optimized geometry, PBE.

Values from the calculation:
Energy relative to the elements, uncorrected (eV per atom): 0.471
Symmetry: P4/mmm, No. 123

abc: 4.765 4.765 4.067
angles: 90.00 90.00 90.00
Fractional coordinates of all 5 atoms:
1 Zn 0.000 0.500 0.000
2 Zn 0.500 0.000 0.000
3 Ni 0.000 0.000 0.000
4 Pt 0.500 0.500 0.500
5 Cl 0.000 0.000 0.500

***

Record 4
Li2Ac3Al9: optimized geometry, PBE.

Values from the calculation:
E (eV per atom): -3.873
Symmetry: Immm, No. 71

abc: 8.831 8.831 8.831
angles: 149.53 111.52 76.77
Fractional coordinates of all 14 atoms:
1 Li 0.201 0.000 0.201
2 Li 0.799 0.000 0.799
3 Ac 0.191 0.191 0.000
4 Ac 0.500 0.500 0.000
5 Ac 0.809 0.809 0.000
6 Al 0.000 0.500 0.500
7 Al 0.085 0.360 0.724
8 Al 0.199 0.836 0.363
9 Al 0.364 0.640 0.724
10 Al 0.474 0.836 0.637
11 Al 0.526 0.164 0.363
12 Al 0.636 0.360 0.276
13 Al 0.801 0.164 0.637
14 Al 0.915 0.640 0.276

***

Record 5
CuIrPt2: optimized geometry, PBE.

Values from the calculation:
ΔE to the lowest computed polymorph (eV per atom): 0.137
Symmetry: Imm2, No. 44

abc: 5.360 5.360 5.360
angles: 150.56 128.06 60.84
Fractional coordinates of all 4 atoms:
1 Cu 0.000 0.000 0.000
2 Ir 0.242 0.742 0.500
3 Pt 0.493 0.493 0.000
4 Pt 0.755 0.255 0.500

***

Record 6
In2CoNi2: optimized geometry, PBE.

Values from the calculation:
E (eV per atom): -4.715
Symmetry: P4/mbm, No. 127

abc: 6.368 6.368 3.819
angles: 90.00 90.00 90.00
Fractional coordinates of all 10 atoms:
1 In 0.173 0.327 0.000
2 In 0.327 0.827 0.000
3 In 0.673 0.173 0.000
4 In 0.827 0.673 0.000
5 Co 0.000 0.000 0.500
6 Co 0.500 0.500 0.500
7 Ni 0.133 0.633 0.500
8 Ni 0.367 0.133 0.500
9 Ni 0.633 0.867 0.500
10 Ni 0.867 0.367 0.500

***

Record 7
Li12Sn6Pt: optimized geometry, PBE.

Values from the calculation:
E (eV per atom): -3.153
Symmetry: R-3, No. 148

abc: 7.210 7.210 7.210
angles: 88.08 88.08 88.08
Fractional coordinates of all 19 atoms:
1 Li 0.018 0.918 0.318
2 Li 0.082 0.682 0.982
3 Li 0.138 0.468 0.367
4 Li 0.318 0.018 0.918
5 Li 0.367 0.138 0.468
6 Li 0.468 0.367 0.138
7 Li 0.532 0.633 0.862
8 Li 0.633 0.862 0.532
9 Li 0.682 0.982 0.082
10 Li 0.862 0.532 0.633
11 Li 0.918 0.318 0.018
12 Li 0.982 0.082 0.682
13 Sn 0.223 0.373 0.766
14 Sn 0.234 0.777 0.627
15 Sn 0.373 0.766 0.223
16 Sn 0.627 0.234 0.777
17 Sn 0.766 0.223 0.373
18 Sn 0.777 0.627 0.234
19 Pt 0.500 0.500 0.500

***

Record 8
NdNiBRh2: optimized geometry, PBE.

Values from the calculation:
E (eV per atom): -7.006
Symmetry: P4/mmm, No. 123

abc: 4.265 4.265 4.081
angles: 90.00 90.00 90.00
Fractional coordinates of all 5 atoms:
1 Nd 0.000 0.000 0.000
2 Ni 0.500 0.500 0.000
3 B 0.500 0.500 0.500
4 Rh 0.000 0.500 0.500
5 Rh 0.500 0.000 0.500

***

| no. | density (kg/m3) |
| --- | --- |
| 1 | 6399 |
| 2 | 8771 |
| 3 | 7553 |
| 4 | 4877 |
| 5 | 18144 |
| 6 | 8705 |
| 7 | 4396 |
| 8 | 9385 |